Material: Tb2PrAl
Method: DFT, PBE
State: optimized geometry

The value obtained for the formation energy is 0.0064 eV/atom. As for the total magnetic moment: 1.217 μB per formula unit. As for the polymorph energy (0 for the lowest one): 0.1949 eV per atom.

The space group is Fm-3m (No. 225) and the conventional cell measures 7.6784, 7.6784 and 7.6784 Å, with angles of 90.00, 90.00 and 90.00 degrees. The distinct sites, in fractional coordinates, are Tb at (0.2500, 0.2500, 0.2500), Pr at (0.0000, 0.0000, 0.0000) and Al at (0.0000, 0.0000, 0.5000).

Material: Ho4Al
Method: DFT, PBE
State: optimized geometry

The value obtained for the formation energy is 0.5076 eV/atom. As for the total magnetic moment: 0.000 μB per formula unit. As for the polymorph energy (0 for the lowest one): 0.5341 eV per atom.

The space group is Fd-3m (No. 227, origin choice 2) and the conventional cell measures 11.0928, 11.0928 and 11.0928 Å, with angles of 90.00, 90.00 and 90.00 degrees. The distinct sites, in fractional coordinates, are Ho at (0.0192, 0.0192, 0.2308) and Al at (0.1250, 0.1250, 0.6250).

Material: MgCoI
Method: DFT, PBE
State: optimized geometry

As for the raw formation energy: 1087.3 meV/atom. As for the total magnetic moment: 0.049 μB per formula unit. As for the polymorph energy (0 for the lowest one): 1.3353 eV per atom.

The space group is P6_3/mmc (No. 194) and the conventional cell measures 5.0068, 5.0068 and 9.2467 Å, with angles of 90.00, 90.00 and 120.00 degrees. The distinct sites, in fractional coordinates, are Mg at (0.3333, 0.6667, 0.2500), Co at (0.0000, 0.0000, 0.0000) and I at (0.0000, 0.0000, 0.2500).

Material: RbYSBr2
Method: DFT, PBE
State: optimized geometry

As for the raw formation energy: -1747.2 meV/atom. As for the total magnetic moment: 0.000 μB per formula unit.

The space group is P4/mmm (No. 123) and the conventional cell measures 5.7403, 5.7403 and 5.2174 Å, with angles of 90.00, 90.00 and 90.00 degrees. The distinct sites, in fractional coordinates, are Rb at (0.0000, 0.0000, 0.0000), Y at (0.5000, 0.5000, 0.5000), S at (0.5000, 0.5000, 0.0000) and Br at (0.0000, 0.5000, 0.5000).